Record 1
Compound: PuAl3Au
Source: the Alexandria database
Functional: GGA-PBE
Structure: relaxed Values from VASP.

```
&SYSTEM
  ibrav = 0, nat = 20, ntyp = 3
/
ATOMIC_SPECIES
Pu 244.00 Pu.upf
Al 26.98 Al.upf
Au 196.97 Au.upf
CELL_PARAMETERS angstrom
8.6376 0.0000 0.0000
0.0000 3.4645 0.0000
0.0000 0.0000 12.0043
ATOMIC_POSITIONS crystal
Pu 0.0886 0.2500 0.0063
Pu 0.4114 0.7500 0.5063
Pu 0.5886 0.2500 0.4937
Pu 0.9114 0.7500 0.9937
Al 0.0926 0.2500 0.4143
Al 0.0974 0.7500 0.2198
Al 0.1493 0.7500 0.7955
Al 0.3507 0.2500 0.2955
Al 0.4026 0.2500 0.7198
Al 0.4074 0.7500 0.9143
Al 0.5926 0.2500 0.0857
Al 0.5974 0.7500 0.2802
Al 0.6493 0.7500 0.7045
Al 0.8507 0.2500 0.2045
Al 0.9026 0.2500 0.7802
Al 0.9074 0.7500 0.5857
Au 0.1325 0.2500 0.6252
Au 0.3675 0.7500 0.1252
Au 0.6325 0.2500 0.8748
Au 0.8675 0.7500 0.3748
```

For the density of states at the Fermi level, the calculation gives 0.74 states/eV per atom. Its volume is 359.2 Å³ per cell. Its total magnetic moment is 0.0 μB/cell. As for the space group: Pnma (62). The energy is -5.992 eV/atom.

=====

Record 2
Compound: Zr2ZnCo2
Source: the Alexandria database
Functional: GGA-PBE
Structure: relaxed Values from VASP.

```
&SYSTEM
  ibrav = 0, nat = 5, ntyp = 3
/
ATOMIC_SPECIES
Zr 91.22 Zr.upf
Zn 65.41 Zn.upf
Co 58.93 Co.upf
CELL_PARAMETERS angstrom
-1.7834 1.7834 6.9238
1.7834 -1.7834 6.9238
1.7834 1.7834 -6.9238
ATOMIC_POSITIONS crystal
Zr 0.1192 0.1192 0.0000
Zr 0.8808 0.8808 0.0000
Zn 0.5000 0.5000 0.0000
Co 0.2500 0.7500 0.5000
Co 0.7500 0.2500 0.5000
```

For the density of states at the Fermi level, the calculation gives 0.98 states/eV per atom. Its volume is 88.1 Å³ per cell. Its total magnetic moment is 0.0 μB/cell. As for the space group: I4/mmm (139). The energy is -6.455 eV/atom.

=====

Please write out number 1 again, unchanged.
Compound: PuAl3Au
Source: the Alexandria database
Functional: GGA-PBE
Structure: relaxed Values from VASP.

```
&SYSTEM
  ibrav = 0, nat = 20, ntyp = 3
/
ATOMIC_SPECIES
Pu 244.00 Pu.upf
Al 26.98 Al.upf
Au 196.97 Au.upf
CELL_PARAMETERS angstrom
8.6376 0.0000 0.0000
0.0000 3.4645 0.0000
0.0000 0.0000 12.0043
ATOMIC_POSITIONS crystal
Pu 0.0886 0.2500 0.0063
Pu 0.4114 0.7500 0.5063
Pu 0.5886 0.2500 0.4937
Pu 0.9114 0.7500 0.9937
Al 0.0926 0.2500 0.4143
Al 0.0974 0.7500 0.2198
Al 0.1493 0.7500 0.7955
Al 0.3507 0.2500 0.2955
Al 0.4026 0.2500 0.7198
Al 0.4074 0.7500 0.9143
Al 0.5926 0.2500 0.0857
Al 0.5974 0.7500 0.2802
Al 0.6493 0.7500 0.7045
Al 0.8507 0.2500 0.2045
Al 0.9026 0.2500 0.7802
Al 0.9074 0.7500 0.5857
Au 0.1325 0.2500 0.6252
Au 0.3675 0.7500 0.1252
Au 0.6325 0.2500 0.8748
Au 0.8675 0.7500 0.3748
```

For the density of states at the Fermi level, the calculation gives 0.74 states/eV per atom. Its volume is 359.2 Å³ per cell. Its total magnetic moment is 0.0 μB/cell. As for the space group: Pnma (62). The energy is -5.992 eV/atom.

=====

Question: total magnetic moment of number 1 (PuAl3Au)?
Answer: 0.0 μB/cell

=====

Question: Which of these has the highest energy?
Answer: PuAl3Au